Below is a relaxed structure of Th4CuNi3, with properties calculated at the PBE-GGA level.

Geometry as POSCAR:
```
Th4CuNi3
1.0
3.732 0.000 0.000
0.000 4.267 0.000
0.000 0.000 11.033
Th Cu Ni
4 1 3
direct
0.000 0.000 0.000
0.000 0.500 0.275
0.500 0.000 0.491
0.500 0.500 0.780
0.000 0.000 0.704
0.000 0.500 0.563
0.500 0.000 0.212
0.500 0.500 0.064
```

Calculated values
- Symmetry: Pmm2, No. 25
- Energy of formation from the pure elements: -0.345 eV per atom
- VASP energy: -6.73 eV per atom